No. 1
Here is a relaxed Ba2LaSi crystal from the Alexandria database. Energies are from PBE.

Cell and atoms, written as POSCAR:
```
Ba2LaSi
1.0
5.0161 0.0000 0.0000
0.0000 5.0161 0.0000
0.0000 0.0000 5.5009
Si Ba La
1 2 1
Cartesian
0.0000 2.5080 2.7505
2.5080 2.5080 0.0000
0.0000 0.0000 0.0000
2.5080 0.0000 2.7505
```

The value obtained for the formation energy (no corrections) is 0.016 eV per atom. The total energy is -0.130 Ha/atom.



No. 2
Here is a relaxed Ac2PrNd5Sm crystal from the Alexandria database. Energies are from PBE.

Cell and atoms, written as POSCAR:
```
Ac2PrNd5Sm
1.0
-2.4253 0.2469 5.3766
3.3123 -10.2270 -1.2771
9.8315 2.6456 4.3133
Nd Sm Ac Pr
10 2 4 2
Cartesian
1.6459 -3.4595 4.1423
5.9577 -8.2118 6.3055
4.2441 -4.8795 2.1385
7.6767 -2.1315 6.8016
1.2358 0.3811 3.7809
0.3138 -0.3193 0.1562
1.8647 -7.8652 1.2024
8.1609 -4.1203 3.8704
4.3741 -0.6747 5.2450
9.3059 -7.7631 4.5542
5.0184 -4.4412 5.7086
0.9582 -4.1693 0.6237
2.6740 -7.0661 4.7716
8.4641 -5.4249 7.3081
3.6517 -1.5335 1.7177
7.6604 -0.3717 3.4725
8.6152 0.8793 7.0867
6.2683 -7.0930 3.1533
```

The total energy is -0.165 Ha/atom. The formation energy comes out at 0.13 eV per atom.



No. 3
Here is a relaxed Sc2CoSe crystal from the Alexandria database. Energies are from PBE.

Cell and atoms, written as POSCAR:
```
Sc2CoSe
1.0
-2.5122 0.8053 -3.7648
-3.7646 -1.4558 2.2004
-0.5765 3.0580 1.0381
Sc Se Co
2 1 1
Cartesian
-3.1384 -0.3253 -0.7822
0.0000 0.0000 0.0000
-1.5444 1.9316 -1.3633
-2.1705 0.8011 1.6193
```

The value obtained for the formation energy (no corrections) is -0.644 eV per atom. The total energy is -0.237 Ha/atom.



No. 4
Here is a relaxed TlC2 crystal from the Alexandria database. Energies are from PBE.

Cell and atoms, written as POSCAR:
```
TlC2
1.0
4.5804 -1.0289 -1.7841
4.7306 1.5817 -0.5838
4.0874 -2.7577 5.4866
C Tl
4 2
Cartesian
8.5325 -0.6755 0.4011
4.5053 -0.9162 1.4289
4.8660 -1.5295 2.7176
8.8931 -1.2887 1.6898
6.1703 -0.2012 -0.3347
7.2282 -2.0037 3.4534
```

The total energy is -0.212 Ha/atom. The formation energy comes out at 1.18 eV per atom.



No. 5
Here is a relaxed SrCd2RhPb crystal from the Alexandria database. Energies are from PBE.

Cell and atoms, written as POSCAR:
```
SrCd2RhPb
1.0
-1.4083 -4.9888 -0.8249
1.1588 0.5151 -5.0935
4.8820 -1.5362 0.9554
Sr Cd Pb Rh
1 2 1 1
Cartesian
2.3162 -3.0050 -2.4815
0.5794 0.2575 -2.5468
-0.7042 -2.4944 -0.4124
2.4410 -0.7681 0.4777
0.0000 0.0000 0.0000
```

The total energy is -0.114 Ha/atom. The formation energy comes out at -0.19 eV per atom.



No. 6
Here is a relaxed K12Hg3H5 crystal from the Alexandria database. Energies are from PBE.

Cell and atoms, written as POSCAR:
```
K12Hg3H5
1.0
-0.0058 9.5701 -12.5723
2.0915 -14.9257 -4.7435
-13.8162 1.2350 7.5656
K Hg H
48 12 20
Cartesian
0.0129 4.9723 -9.2197
-4.4462 -4.1786 -3.4122
-8.3145 8.0457 -7.3433
-2.3708 -1.6915 -0.3992
-11.2190 0.8692 -7.0628
-1.2764 0.6812 -13.8295
-3.7556 -0.1034 -4.2738
-9.0086 -10.0221 -3.4280
-7.2843 0.0581 -6.3380
-7.3803 -8.0938 -7.0449
-12.0153 4.0622 -4.6318
-10.4541 -4.8017 4.0793
-3.3592 4.0614 -11.9092
-7.6376 4.2805 -5.1214
-2.7220 5.9016 -6.3222
-3.4161 -12.1662 -2.4069
-3.6802 -7.1158 -8.4909
0.0416 -5.4399 -8.5610
-6.0573 4.5627 -8.8749
-4.4799 -2.9438 -7.3125
-13.3809 1.4696 4.6678
-10.4192 -2.3413 0.4216
-8.3714 -8.1819 2.1590
-0.5115 -4.9897 -2.6874
-9.3597 -2.4290 -9.3510
-1.1968 2.1124 -6.5558
-10.5337 -6.2329 -3.1944
0.3075 -12.5894 -4.7285
-4.0930 -8.4010 -4.6287
-9.4890 1.3793 2.5995
1.6504 -5.5901 -14.4180
-11.7434 -9.0928 -0.5305
-8.0504 2.9953 -1.2593
-4.2909 0.9192 -9.4604
-11.4224 -1.9240 -3.6583
-7.9749 -4.0170 -5.4764
-6.2995 -1.1730 1.5323
-12.0380 8.4689 -5.0217
-7.2507 -1.1767 -2.4376
-4.3502 3.9733 -2.7053
-0.3081 -2.1965 -6.0919
-2.2416 -5.4998 -12.3497
-7.4397 -5.0397 -0.2898
0.2847 -8.1827 -5.1183
-1.3113 -1.7792 -10.1718
-11.7722 1.3194 -1.1892
-5.6732 -8.6832 -0.8753
-5.4311 -2.9475 -11.2825
-0.9471 1.7349 -10.2623
-11.5670 -1.4545 3.8625
-8.5328 -10.9374 -0.0479
-4.6618 2.7131 -6.2065
-7.0687 -6.8336 -3.5437
-3.1977 6.8169 -9.7023
-10.7834 -5.8554 0.5121
-0.1635 -2.6660 -13.6126
-6.8094 -5.1105 -8.8513
-9.5815 1.3105 -3.9623
-4.9211 0.9900 -0.8989
-2.1491 -5.4310 -5.7879
0.0000 0.0000 0.0000
-5.8624 -6.8453 1.4110
0.1016 -10.5130 -6.3479
-2.6705 -4.0921 -1.4589
-6.9110 5.4026 -2.5034
-9.0601 -0.0284 -8.2912
-1.6276 -6.7699 -10.1168
-0.0029 4.7851 -6.2861
1.0457 -7.4628 -2.3717
-8.1173 5.4143 -7.4581
-7.8523 -2.4327 -0.1934
-10.1029 2.6494 0.3666
-3.8783 -1.6878 -9.5568
-10.5242 -4.1323 -4.7954
1.0428 -2.6778 -8.6579
-1.2063 0.0118 -4.9548
-11.8321 6.3925 -3.4023
-6.9081 0.6175 3.7828
-3.6132 -9.5348 -2.2920
-5.8653 -2.0602 -4.8751
```

The total energy is -0.059 Ha/atom.



No. 7
Here is a relaxed Bi3HIr crystal from the Alexandria database. Energies are from PBE.

Cell and atoms, written as POSCAR:
```
Bi3HIr
1.0
-2.2422 3.8869 1.5138
1.0502 -1.1373 4.4756
4.0369 2.4547 -0.3235
Bi H Ir
3 1 1
Cartesian
0.5251 -0.5686 2.2378
2.0185 1.2274 -0.1617
-1.1211 1.9434 0.7569
0.0000 0.0000 0.0000
1.4224 2.6022 2.8330
```

The total energy is -0.151 Ha/atom.



No. 8
Here is a relaxed FeP2 crystal from the Alexandria database. Energies are from PBE.

Cell and atoms, written as POSCAR:
```
FeP2
1.0
0.0000 3.4827 3.4827
3.4827 0.0000 3.4827
3.4827 3.4827 0.0000
P Fe
4 2
Cartesian
0.8707 2.6120 2.6120
2.6120 2.6120 0.8707
2.6120 0.8707 2.6120
0.8707 0.8707 0.8707
5.2240 5.2240 5.2240
3.4827 3.4827 3.4827
```

The total energy is -0.208 Ha/atom. The formation energy comes out at 0.77 eV per atom.



What did the first record say?
Here is a relaxed Ba2LaSi crystal from the Alexandria database. Energies are from PBE.

Cell and atoms, written as POSCAR:
```
Ba2LaSi
1.0
5.0161 0.0000 0.0000
0.0000 5.0161 0.0000
0.0000 0.0000 5.5009
Si Ba La
1 2 1
Cartesian
0.0000 2.5080 2.7505
2.5080 2.5080 0.0000
0.0000 0.0000 0.0000
2.5080 0.0000 2.7505
```

The value obtained for the formation energy (no corrections) is 0.016 eV per atom. The total energy is -0.130 Ha/atom.